(1)
BaIrOs2 | PBE | optimized geometry

Its crystal system is monoclinic. For the spin magnetization, the calculation gives 0.0 μB per formula unit. The energy comes out at -7.310 eV per atom. The calculation puts the formation energy at 1.001 eV per atom. The energy above the most stable polymorph in this dataset comes out at 0.7207 eV per atom.

It has space group P2/m (No. 10), with a = 2.938 Å, b = 4.515 Å, c = 6.524 Å, α = 90.00°, β = 100.75° and γ = 90.00°. Symmetry generates all atoms from Ba at (0.000, 0.000, 0.000), Ir at (0.500, 0.000, 0.500) and Os at (0.296, 0.500, 0.661).

***

(2)
Ti7Co5Ir | PBE | optimized geometry

Its crystal system is orthorhombic. For the spin magnetization, the calculation gives 0.0 μB per formula unit. The energy comes out at -8.003 eV per atom. The calculation puts the formation energy at -0.337 eV per atom.

It has space group Imm2 (No. 44), with a = 4.987 Å, b = 8.638 Å, c = 8.502 Å, α = 90.00°, β = 90.00° and γ = 90.00°. Symmetry generates all atoms from Ti at (0.000, 0.000, 0.000), Ti at (0.000, 0.000, 0.365), Ti at (0.000, 0.300, 0.560), Ti at (0.000, 0.343, 0.022), Ti at (0.000, 0.500, 0.304), Co at (0.000, 0.500, 0.768), Co at (0.249, 0.241, 0.801) and Ir at (0.000, 0.000, 0.662).

***

(3)
AlHgH2 | PBE | optimized geometry

Its crystal system is tetragonal. For the spin magnetization, the calculation gives 0.0 μB per formula unit. The energy comes out at -2.442 eV per atom. The energy above the most stable polymorph in this dataset comes out at 0.0000 eV per atom.

It has space group I-42d (No. 122), with a = 5.101 Å, b = 5.101 Å, c = 9.616 Å, α = 90.00°, β = 90.00° and γ = 90.00°. Symmetry generates all atoms from Al at (0.000, 0.000, 0.000), Hg at (0.000, 0.000, 0.500) and H at (0.006, 0.750, 0.125).